VASP calculation (PBE) on a relaxed NbMoIr2 crystal.

a = 7.1061 Å, b = 7.1061 Å, c = 5.7157 Å
α = 51.56°, β = 51.56°, γ = 90.00°
Closest atoms and distances in Å follow each position.
Positions (direct):
Mo1 0.0000 0.0000 0.0000  4 Ir 2.53, 2 Nb 2.72
Mo2 0.7500 0.2500 0.5000  4 Ir 2.53, 2 Nb 2.72
Ir1 0.6404 0.1250 0.2500  2 Mo 2.53, 2 Nb 2.68, 2 Ir 2.73
Ir2 0.1096 0.6250 0.2500  2 Mo 2.53, 2 Nb 2.68, 2 Ir 2.73
Ir3 0.3750 0.3596 0.7500  2 Mo 2.53, 2 Nb 2.68, 2 Ir 2.73
Ir4 0.8750 0.8904 0.7500  2 Mo 2.53, 2 Nb 2.68, 2 Ir 2.73
Nb1 0.5000 0.5000 0.0000  4 Ir 2.68, 2 Mo 2.72
Nb2 0.2500 0.7500 0.5000  4 Ir 2.68, 2 Mo 2.72

Results
Calculated formation energy (meV per atom): 267
E above lowest polymorph (eV per formula unit): 2.74